(1)
# PBE-GGA HfScS3, optimized geometry
data_HfScS3
_symmetry_space_group_name_H-M 'P 1 21/m 1'
_symmetry_Int_Tables_number 11
_cell_length_a 6.493
_cell_length_b 3.642
_cell_length_c 9.183
_cell_angle_alpha 90.00
_cell_angle_beta 103.30
_cell_angle_gamma 90.00
loop_
_symmetry_equiv_pos_as_xyz
'x,y,z'
'-x,-y,-z'
'-x,y+1/2,-z'
'x,-y+1/2,z'
loop_
_atom_site_label
_atom_site_fract_x
_atom_site_fract_y
_atom_site_fract_z
_atom_site_occupancy
Hf1 0.134 0.250 0.153 1
Sc1 0.270 0.250 0.518 1
S1 0.042 0.750 0.338 1
S2 0.244 0.750 0.996 1
S3 0.491 0.750 0.672 1
# E above lowest polymorph, meV/atom: 0
# Formation energy (no corrections), meV per atom: -1697
# DOS(E_F), states/eV/cell: 6.0
# V, A^3/atom: 21.13



(2)
# PBE-GGA HfSc3S6, optimized geometry
data_HfSc3S6
_symmetry_space_group_name_H-M 'R -3'
_symmetry_Int_Tables_number 148
_symmetry_space_group_name_Hall '-R 3'
_cell_length_a 10.7496
_cell_length_b 10.7496
_cell_length_c 12.9592
_cell_angle_alpha 90.00
_cell_angle_beta 90.00
_cell_angle_gamma 120.00
loop_
_atom_site_label
_atom_site_fract_x
_atom_site_fract_y
_atom_site_fract_z
_atom_site_occupancy
Hf1 0.0000 0.0000 0.0000 1
Hf2 0.0000 0.0000 0.5000 1
Sc1 0.0560 0.6057 0.3671 1
S1 0.0148 0.8100 0.8922 1
S2 0.0325 0.8353 0.3786 1
# Formation energy (no corrections), meV per atom: -1728
# DOS(E_F), states/eV/cell: 32.4
# V, A^3/atom: 21.61